1.
Entry from the Alexandria database: a geometry-optimized NaAl3 structure (GGA-PBE).

Lattice parameters (Å, degrees): 5.1657 5.1657 5.1657 131.25 131.25 71.41
Closest atoms and distances in Å follow each position.
Fractional coordinates of all 4 atoms:
Na: 0.0000 0.0000 0.0000  12 Al 2.99-3.01
Al: 0.7500 0.2500 0.5000  4 Na 2.99, 8 Al 2.99-3.01
Al: 0.2500 0.7500 0.5000  4 Na 2.99, 8 Al 2.99-3.01
Al: 0.5000 0.5000 0.0000  8 Al 2.99, 4 Na 3.01

crystal system = tetragonal
DFT formation energy = 182 meV per atom
size of the total moment = 0.00 μB per formula unit
space group = I4/mmm (139)
total DFT energy (no corrections) = -2.9548 eV/atom


2.
Entry from the Alexandria database: a geometry-optimized Na3Al11 structure (GGA-PBE).

Lattice parameters (Å, degrees): 4.4131 8.3020 8.3020 77.84 74.59 74.59
Closest atoms and distances in Å follow each position.
Fractional coordinates of all 14 atoms:
Na: 0.0000 0.0000 0.0000  12 Al 3.09-3.44
Na: 0.7110 0.2890 0.2890  14 Al 3.13-3.39
Na: 0.2890 0.7110 0.7110  14 Al 3.13-3.39
Al: 0.0000 0.5000 0.5000  8 Al 2.84-2.91
Al: 0.5000 0.3283 0.6717  8 Al 2.68-2.90
Al: 0.5000 0.6717 0.3283  8 Al 2.68-2.90
Al: 0.6398 0.9895 0.7309  5 Al 2.68-2.73
Al: 0.3602 0.0105 0.2691  5 Al 2.68-2.73
Al: 0.6398 0.7309 0.9895  5 Al 2.68-2.73
Al: 0.3602 0.2691 0.0105  5 Al 2.68-2.73
Al: 0.8510 0.8680 0.4300  6 Al 2.72-2.91
Al: 0.1490 0.1320 0.5700  6 Al 2.72-2.91
Al: 0.8510 0.4300 0.8680  6 Al 2.72-2.91
Al: 0.1490 0.5700 0.1320  6 Al 2.72-2.91

crystal system = orthorhombic
DFT formation energy = 68 meV per atom
size of the total moment = 0.00 μB per formula unit
space group = Immm (71)
total DFT energy (no corrections) = -3.1555 eV/atom


3.
Entry from the Alexandria database: a geometry-optimized NaAl structure (GGA-PBE).

Lattice parameters (Å, degrees): 9.7992 9.7992 4.5877 90.00 90.00 90.00
Closest atoms and distances in Å follow each position.
Fractional coordinates of all 16 atoms:
Na: 0.3287 0.0000 0.5000  6 Al 3.15-3.33, 5 Na 3.31-3.36
Na: 0.6713 0.0000 0.5000  6 Al 3.15-3.33, 5 Na 3.31-3.36
Na: 0.0000 0.6713 0.5000  6 Al 3.15-3.33, 5 Na 3.31-3.36
Na: 0.0000 0.3287 0.5000  6 Al 3.15-3.33, 5 Na 3.31-3.36
Na: 0.7848 0.7848 0.0000  2 Al 2.89
Na: 0.7848 0.2152 0.0000  2 Al 2.89
Na: 0.2152 0.7848 0.0000  2 Al 2.89
Na: 0.2152 0.2152 0.0000  2 Al 2.89
Al: 0.7064 0.5000 0.5000  4 Al 2.76-2.86
Al: 0.2936 0.5000 0.5000  4 Al 2.76-2.86
Al: 0.5000 0.2936 0.5000  4 Al 2.76-2.86
Al: 0.5000 0.7064 0.5000  4 Al 2.76-2.86
Al: 0.8623 0.5000 0.0000  3 Al 2.70-2.76, 2 Na 2.89
Al: 0.1377 0.5000 0.0000  3 Al 2.70-2.76, 2 Na 2.89
Al: 0.5000 0.1377 0.0000  3 Al 2.70-2.76, 2 Na 2.89
Al: 0.5000 0.8623 0.0000  3 Al 2.70-2.76, 2 Na 2.89

crystal system = tetragonal
DFT formation energy = 228 meV per atom
size of the total moment = 0.00 μB per formula unit
space group = P4/mmm (123)
total DFT energy (no corrections) = -2.3026 eV/atom


4.
Entry from the Alexandria database: a geometry-optimized NaAl structure (GGA-PBE).

Lattice parameters (Å, degrees): 6.9067 6.9067 6.9067 90.00 90.00 90.00
Closest atoms and distances in Å follow each position.
Fractional coordinates of all 8 atoms:
Na: 0.2500 0.2500 0.2500  4 Al 2.99
Na: 0.2500 0.7500 0.7500  4 Al 2.99
Na: 0.7500 0.2500 0.7500  4 Al 2.99
Na: 0.7500 0.7500 0.2500  4 Al 2.99
Al: 0.0000 0.0000 0.0000  4 Na 2.99
Al: 0.0000 0.5000 0.5000  4 Na 2.99
Al: 0.5000 0.0000 0.5000  4 Na 2.99
Al: 0.5000 0.5000 0.0000  4 Na 2.99

crystal system = cubic
DFT formation energy = 1016 meV per atom
size of the total moment = 0.00 μB per formula unit
space group = F-43m (216)
total DFT energy (no corrections) = -1.5147 eV/atom


5.
Entry from the Alexandria database: a geometry-optimized NaAl structure (GGA-PBE).

Lattice parameters (Å, degrees): 5.5798 15.9519 8.6351 90.00 90.00 90.00
Closest atoms and distances in Å follow each position.
Fractional coordinates of all 32 atoms:
Na: 0.0000 0.0000 0.6642  3 Na 2.84-3.16, 2 Al 3.08
Na: 0.0000 0.0000 0.3358  3 Na 2.84-3.16, 2 Al 3.08
Na: 0.2500 0.7500 0.5858  3 Na 2.84-3.16, 2 Al 3.08
Na: 0.2500 0.7500 0.9142  3 Na 2.84-3.16, 2 Al 3.08
Na: 0.0000 0.5000 0.1642  3 Na 2.84-3.16, 2 Al 3.08
Na: 0.0000 0.5000 0.8358  3 Na 2.84-3.16, 2 Al 3.08
Na: 0.2500 0.2500 0.0858  3 Na 2.84-3.16, 2 Al 3.08
Na: 0.2500 0.2500 0.4142  3 Na 2.84-3.16, 2 Al 3.08
Na: 0.5000 0.0000 0.1642  3 Na 2.84-3.16, 2 Al 3.08
Na: 0.5000 0.0000 0.8358  3 Na 2.84-3.16, 2 Al 3.08
Na: 0.7500 0.7500 0.0858  3 Na 2.84-3.16, 2 Al 3.08
Na: 0.7500 0.7500 0.4142  3 Na 2.84-3.16, 2 Al 3.08
Na: 0.5000 0.5000 0.6642  3 Na 2.84-3.16, 2 Al 3.08
Na: 0.5000 0.5000 0.3358  3 Na 2.84-3.16, 2 Al 3.08
Na: 0.7500 0.2500 0.5858  3 Na 2.84-3.16, 2 Al 3.08
Na: 0.7500 0.2500 0.9142  3 Na 2.84-3.16, 2 Al 3.08
Al: 0.0000 0.0839 0.0000  3 Al 2.68-2.89
Al: 0.0000 0.9161 0.0000  3 Al 2.68-2.89
Al: 0.2500 0.6661 0.2500  3 Al 2.68-2.89
Al: 0.2500 0.8339 0.2500  3 Al 2.68-2.89
Al: 0.0000 0.5839 0.5000  3 Al 2.68-2.89
Al: 0.0000 0.4161 0.5000  3 Al 2.68-2.89
Al: 0.2500 0.1661 0.7500  3 Al 2.68-2.89
Al: 0.2500 0.3339 0.7500  3 Al 2.68-2.89
Al: 0.5000 0.0839 0.5000  3 Al 2.68-2.89
Al: 0.5000 0.9161 0.5000  3 Al 2.68-2.89
Al: 0.7500 0.6661 0.7500  3 Al 2.68-2.89
Al: 0.7500 0.8339 0.7500  3 Al 2.68-2.89
Al: 0.5000 0.5839 0.0000  3 Al 2.68-2.89
Al: 0.5000 0.4161 0.0000  3 Al 2.68-2.89
Al: 0.7500 0.1661 0.2500  3 Al 2.68-2.89
Al: 0.7500 0.3339 0.2500  3 Al 2.68-2.89

crystal system = orthorhombic
DFT formation energy = 199 meV per atom
size of the total moment = 0.00 μB per formula unit
space group = Fddd (70)
total DFT energy (no corrections) = -2.3319 eV/atom


6.
Entry from the Alexandria database: a geometry-optimized NaAl structure (GGA-PBE).

Lattice parameters (Å, degrees): 3.1121 3.1112 10.8648 90.03 89.88 60.01
Closest atoms and distances in Å follow each position.
Fractional coordinates of all 4 atoms:
Na: 0.8280 0.3372 0.8524  6 Na 3.11, 3 Al 3.23-3.24
Na: 0.1720 0.6628 0.1476  6 Na 3.11, 3 Al 3.23-3.24
Al: 0.1659 0.6675 0.6046  9 Al 2.90-3.11, 3 Na 3.23-3.24
Al: 0.8341 0.3325 0.3954  9 Al 2.90-3.11, 3 Na 3.23-3.24

crystal system = triclinic
DFT formation energy = 171 meV per atom
size of the total moment = 0.00 μB per formula unit
space group = P-1 (2)
total DFT energy (no corrections) = -2.3599 eV/atom


7.
Entry from the Alexandria database: a geometry-optimized NaAl3 structure (GGA-PBE).

Lattice parameters (Å, degrees): 2.8624 4.9225 5.5130 90.00 90.00 90.00
Closest atoms and distances in Å follow each position.
Fractional coordinates of all 4 atoms:
Na: 0.0000 0.5000 0.3171  2 Na 2.86, 10 Al 3.04-3.11
Al: 0.0000 0.0000 0.9932  8 Al 2.86-3.01, 2 Na 3.04
Al: 0.5000 0.0000 0.5409  6 Al 2.86-2.89, 4 Na 3.10
Al: 0.5000 0.5000 0.8155  8 Al 2.86-3.01, 4 Na 3.10-3.11

crystal system = orthorhombic
DFT formation energy = 176 meV per atom
size of the total moment = 0.00 μB per formula unit
space group = Pmm2 (25)
total DFT energy (no corrections) = -2.9608 eV/atom


8.
Entry from the Alexandria database: a geometry-optimized Na5Al structure (GGA-PBE).

Lattice parameters (Å, degrees): 3.7898 5.6763 9.1485 108.07 90.00 90.00
Closest atoms and distances in Å follow each position.
Fractional coordinates of all 6 atoms:
Na: 0.0000 0.6698 0.3396  10 Na 3.44-3.79
Na: 0.0000 0.3302 0.6604  10 Na 3.44-3.79
Na: 0.5000 0.5000 0.0000  4 Al 3.41, 6 Na 3.51-3.79
Na: 0.5000 0.1472 0.2944  2 Al 3.19, 4 Na 3.44
Na: 0.5000 0.8528 0.7056  2 Al 3.19, 4 Na 3.44
Al: 0.0000 0.0000 0.0000  8 Na 3.19-3.41

crystal system = orthorhombic
DFT formation energy = 129 meV per atom
size of the total moment = 0.00 μB per formula unit
space group = Cmmm (65)
total DFT energy (no corrections) = -1.5940 eV/atom


9.
Entry from the Alexandria database: a geometry-optimized NaAl structure (GGA-PBE).

Lattice parameters (Å, degrees): 2.9986 10.1275 3.0566 90.00 90.00 90.00
Closest atoms and distances in Å follow each position.
Fractional coordinates of all 4 atoms:
Na: 0.0000 0.1593 0.5000  4 Na 3.00-3.06, 4 Al 3.27
Na: 0.5000 0.8407 0.0000  4 Na 3.00-3.06, 4 Al 3.27
Al: 0.0000 0.5961 0.5000  8 Al 2.89-3.06
Al: 0.5000 0.4039 0.0000  8 Al 2.89-3.06

crystal system = orthorhombic
DFT formation energy = 118 meV per atom
size of the total moment = 0.00 μB per formula unit
space group = Pmmn (59)
total DFT energy (no corrections) = -2.4126 eV/atom


10.
Entry from the Alexandria database: a geometry-optimized NaAl3 structure (GGA-PBE).

Lattice parameters (Å, degrees): 4.2363 4.2363 4.2363 90.00 90.00 90.00
Closest atoms and distances in Å follow each position.
Fractional coordinates of all 4 atoms:
Na: 0.0000 0.0000 0.0000  12 Al 3.00
Al: 0.5000 0.5000 0.0000  4 Na 3.00, 8 Al 3.00
Al: 0.5000 0.0000 0.5000  4 Na 3.00, 8 Al 3.00
Al: 0.0000 0.5000 0.5000  4 Na 3.00, 8 Al 3.00

crystal system = cubic
DFT formation energy = 164 meV per atom
size of the total moment = 0.00 μB per formula unit
space group = Pm-3m (221)
total DFT energy (no corrections) = -2.9730 eV/atom


- Among the records above, which one has the lowest DFT formation energy?
  Na3Al11